Ba2ZrCdSb (PBE-GGA, relaxed); symmetry = P4/mmm; M_tot = 2.505 Bohr magnetons per cell; volume = 42.4 Å³ per atom; formation energy (no corrections) = 536 meV/atom; N(E_F) = 5.97 states/eV/f.u.; theoretical density = 4.7 Mg/m³
1.0
6.200 0.000 0.000
0.000 6.200 0.000
0.000 0.000 5.514
Ba Zr Cd Sb
2 1 1 1
direct
0.000 0.500 0.000 Ba
0.500 0.000 0.000 Ba
0.000 0.000 0.000 Zr
0.000 0.000 0.500 Cd
0.500 0.500 0.500 Sb

---

ZnInCl3 (PBE-GGA, relaxed); symmetry = C2/m; M_tot = 0.000 Bohr magnetons per cell; volume = 29.8 Å³ per atom; formation energy (no corrections) = -769 meV/atom; N(E_F) = 1.03 states/eV/f.u.; theoretical density = 3.2 Mg/m³
1.0
6.590 -2.656 0.000
6.590 2.656 0.000
-0.378 0.000 8.521
Zn In Cl
2 2 6
direct
0.076 0.076 0.076 Zn
0.924 0.924 0.924 Zn
0.358 0.358 0.428 In
0.642 0.642 0.572 In
0.154 0.154 0.571 Cl
0.239 0.239 0.144 Cl
0.465 0.465 0.722 Cl
0.535 0.535 0.278 Cl
0.761 0.761 0.856 Cl
0.846 0.846 0.429 Cl

---

LiGa2S3 (PBE-GGA, relaxed); symmetry = C2/m; M_tot = 0.000 Bohr magnetons per cell; volume = 23.1 Å³ per atom; formation energy (no corrections) = -752 meV/atom; N(E_F) = 1.14 states/eV/f.u.; theoretical density = 2.9 Mg/m³
1.0
9.726 -1.793 0.000
9.726 1.793 0.000
-2.151 0.000 7.965
Li Ga S
2 4 6
direct
0.157 0.157 0.437 Li
0.843 0.843 0.563 Li
0.225 0.225 0.856 Ga
0.447 0.447 0.326 Ga
0.553 0.553 0.674 Ga
0.775 0.775 0.144 Ga
0.098 0.098 0.846 S
0.259 0.259 0.319 S
0.430 0.430 0.591 S
0.570 0.570 0.409 S
0.741 0.741 0.681 S
0.902 0.902 0.154 S